1.
Compound: PbF3
Source: the Alexandria database
Functional: PBE
Structure: relaxed

Computed properties:
Uncorrected formation energy in eV/f.u.: -7.8
Total DFT energy (no corrections) in Ry/atom: -0.3139
DOS at the Fermi energy in states/eV/cell: 1.649

Structure (POSCAR):
```
PbF3
1.0
-1.801 3.306 2.471
1.801 -3.306 2.471
1.801 3.306 -2.471
Pb F
1 3
direct
0.000 0.000 0.000
0.274 0.774 0.500
0.599 0.297 0.303
0.994 0.297 0.697
```

2.
Compound: YThN
Source: the Alexandria database
Functional: PBE
Structure: relaxed

Computed properties:
Polymorph energy (0 for the lowest one) in meV/atom: 0
Uncorrected formation energy in eV/f.u.: -2.8
Total DFT energy (no corrections) in Ry/atom: -0.6118
DOS at the Fermi energy in states/eV/cell: 1.647

Structure (POSCAR):
```
YThN
1.0
3.568 0.000 0.000
-1.784 3.090 0.000
0.000 0.000 6.207
Y Th N
1 1 1
direct
0.000 0.000 0.000
0.667 0.333 0.550
0.333 0.667 0.790
```

3.
Compound: Ta2TlPb
Source: the Alexandria database
Functional: PBE
Structure: relaxed

Computed properties:
Polymorph energy (0 for the lowest one) in meV/atom: 289
Energy of formation from the pure elements in eV per atom: 0.647
Total DFT energy (no corrections) in Ry/atom: -0.4996
DOS at the Fermi energy in states/eV/cell: 2.692

Structure (POSCAR):
```
Ta2TlPb
1.0
1.713 -2.567 0.000
1.713 2.567 0.000
0.000 0.000 9.693
Ta Tl Pb
2 1 1
direct
0.000 0.000 0.249
0.000 0.000 0.751
0.500 0.500 0.500
0.500 0.500 0.000
```

4.
Compound: NaSO2
Source: the Alexandria database
Functional: PBE
Structure: relaxed

Computed properties:
Uncorrected formation energy in eV/f.u.: -5.8
Total DFT energy (no corrections) in Ry/atom: -0.3888
DOS at the Fermi energy in states/eV/cell: 0.000

Structure (POSCAR):
```
NaSO2
1.0
6.498 0.000 0.000
0.000 6.758 0.000
-3.189 0.000 5.851
Na S O
4 4 8
direct
0.236 0.148 0.023
0.236 0.852 0.523
0.764 0.148 0.477
0.764 0.852 0.977
0.309 0.337 0.572
0.309 0.663 0.072
0.691 0.337 0.928
0.691 0.663 0.428
0.180 0.185 0.642
0.180 0.815 0.142
0.386 0.238 0.414
0.386 0.762 0.914
0.614 0.238 0.086
0.614 0.762 0.586
0.820 0.185 0.858
0.820 0.815 0.358
```

5.
Compound: Tb2Pr2Ho2Mg
Source: the Alexandria database
Functional: PBE
Structure: relaxed

Computed properties:
Energy of formation from the pure elements in eV per atom: 0.091
Total DFT energy (no corrections) in Ry/atom: -0.3038
DOS at the Fermi energy in states/eV/cell: 8.360

Structure (POSCAR):
```
Tb2Pr2Ho2Mg
1.0
6.075 -1.828 0.000
6.075 1.828 0.000
-5.456 0.000 10.277
Tb Pr Ho Mg
2 2 2 1
direct
0.248 0.248 0.129
0.752 0.752 0.871
0.030 0.030 0.248
0.970 0.970 0.752
0.180 0.180 0.586
0.820 0.820 0.414
0.500 0.500 0.000
```

6.
Compound: LiLa2PaAs4
Source: the Alexandria database
Functional: PBE
Structure: relaxed

Computed properties:
Energy of formation from the pure elements in eV per atom: -1.107
Total DFT energy (no corrections) in Ry/atom: -0.4476
DOS at the Fermi energy in states/eV/cell: 2.343

Structure (POSCAR):
```
LiLa2PaAs4
1.0
7.253 0.000 0.000
0.000 4.304 0.000
-2.388 0.000 6.881
Li La Pa As
1 2 1 4
direct
0.000 0.000 0.000
0.000 0.500 0.500
0.500 0.000 0.500
0.500 0.500 0.000
0.259 0.500 0.233
0.260 0.000 0.772
0.740 0.000 0.228
0.741 0.500 0.767
```

7.
Compound: BaNdPbAu
Source: the Alexandria database
Functional: PBE
Structure: relaxed

Computed properties:
Energy of formation from the pure elements in eV per atom: -0.535
Total DFT energy (no corrections) in Ry/atom: -0.2906
DOS at the Fermi energy in states/eV/cell: 1.473

Structure (POSCAR):
```
BaNdPbAu
1.0
0.000 4.010 4.010
4.010 0.000 4.010
4.010 4.010 0.000
Ba Nd Pb Au
1 1 1 1
direct
0.000 0.000 0.000
0.500 0.500 0.500
0.750 0.750 0.750
0.250 0.250 0.250
```

8.
Compound: RbAg2Bi
Source: the Alexandria database
Functional: PBE
Structure: relaxed

Computed properties:
Polymorph energy (0 for the lowest one) in meV/atom: 259
Energy of formation from the pure elements in eV per atom: 0.126
Total DFT energy (no corrections) in Ry/atom: -0.1846
DOS at the Fermi energy in states/eV/cell: 0.728

Structure (POSCAR):
```
RbAg2Bi
1.0
0.000 3.818 3.818
3.818 0.000 3.818
3.818 3.818 0.000
Rb Ag Bi
1 2 1
direct
0.000 0.000 0.000
0.250 0.250 0.250
0.750 0.750 0.750
0.500 0.500 0.500
```

9.
Compound: Sc5Mn24
Source: the Alexandria database
Functional: PBE
Structure: relaxed

Computed properties:
Energy of formation from the pure elements in eV per atom: -0.029
Total DFT energy (no corrections) in Ry/atom: -0.6401
DOS at the Fermi energy in states/eV/cell: 32.834

Structure (POSCAR):
```
Sc5Mn24
1.0
-4.479 4.479 4.479
4.479 -4.479 4.479
4.479 4.479 -4.479
Sc Mn
5 24
direct
0.000 0.000 0.000
0.000 0.000 0.623
0.000 0.623 0.000
0.377 0.377 0.377
0.623 0.000 0.000
0.000 0.195 0.376
0.000 0.376 0.195
0.000 0.386 0.667
0.000 0.667 0.386
0.181 0.805 0.805
0.195 0.000 0.376
0.195 0.376 0.000
0.281 0.614 0.614
0.333 0.333 0.719
0.333 0.719 0.333
0.376 0.000 0.195
0.376 0.195 0.000
0.386 0.000 0.667
0.386 0.667 0.000
0.614 0.281 0.614
0.614 0.614 0.281
0.624 0.624 0.819
0.624 0.819 0.624
0.667 0.000 0.386
0.667 0.386 0.000
0.719 0.333 0.333
0.805 0.181 0.805
0.805 0.805 0.181
0.819 0.624 0.624
```

10.
Compound: Tm2Al3Pt
Source: the Alexandria database
Functional: PBE
Structure: relaxed

Computed properties:
Energy of formation from the pure elements in eV per atom: -0.806
Total DFT energy (no corrections) in Ry/atom: -0.3803
DOS at the Fermi energy in states/eV/cell: 3.026

Structure (POSCAR):
```
Tm2Al3Pt
1.0
2.739 1.581 4.376
-2.739 1.581 4.376
0.000 -3.162 4.376
Tm Al Pt
2 3 1
direct
0.125 0.125 0.125
0.875 0.875 0.875
0.000 0.500 0.500
0.500 0.000 0.500
0.500 0.500 0.000
0.500 0.500 0.500
```

11.
Compound: Pa2Pd3Au4
Source: the Alexandria database
Functional: PBE
Structure: relaxed

Computed properties:
Energy of formation from the pure elements in eV per atom: -0.468
Total DFT energy (no corrections) in Ry/atom: -0.4237
DOS at the Fermi energy in states/eV/cell: 7.117

Structure (POSCAR):
```
Pa2Pd3Au4
1.0
4.968 -2.186 0.000
4.968 2.186 0.000
-2.313 0.000 8.107
Pa Pd Au
2 3 4
direct
0.207 0.207 0.216
0.793 0.793 0.784
0.165 0.165 0.543
0.500 0.500 0.000
0.835 0.835 0.457
0.114 0.114 0.854
0.464 0.464 0.654
0.536 0.536 0.346
0.886 0.886 0.146
```